Entry 1:
This record from Alexandria via LeMat-Bulk describes NiBi3Pd after structural relaxation. The functional is PBE.

a b c (Å): 5.093 5.093 5.093
angles (deg): 90.00 90.00 90.00
Space group Pm-3m (No. 221)
Asymmetric unit:
Ni: 0.000 0.000 0.000 [1 per cell]
Bi: 0.000 0.000 0.500 [3 per cell]
Pd: 0.500 0.500 0.500 [1 per cell]

Output
- Excess energy over the best structure of this formula in the dataset: 424 meV per atom
- ΔH_f (0 K): 362 meV per atom

Entry 2:
This record from Alexandria via LeMat-Bulk describes Ni2Bi4Pd after structural relaxation. The functional is PBE.

a b c (Å): 4.132 6.921 6.996
angles (deg): 107.95 107.11 107.34
Space group P-1 (No. 2)
Asymmetric unit:
Ni: 0.007 0.260 0.253 [2 per cell]
Bi: 0.325 0.191 0.958 [2 per cell]
Bi: 0.346 0.710 0.481 [2 per cell]
Pd: 0.000 0.500 0.000 [1 per cell]

Output
- Excess energy over the best structure of this formula in the dataset: 0 meV per atom
- ΔH_f (0 K): -92 meV per atom

Entry 3:
This record from Alexandria via LeMat-Bulk describes Ni2BiPd2 after structural relaxation. The functional is PBE.

a b c (Å): 7.313 7.313 3.038
angles (deg): 90.00 90.00 90.00
Space group P4/mbm (No. 127)
Asymmetric unit:
Ni: 0.158 0.342 0.000 [4 per cell]
Bi: 0.000 0.000 0.500 [2 per cell]
Pd: 0.134 0.634 0.500 [4 per cell]

Output
- Excess energy over the best structure of this formula in the dataset: 84 meV per atom
- ΔH_f (0 K): 156 meV per atom

Entry 4:
This record from Alexandria via LeMat-Bulk describes NiBi5Pd after structural relaxation. The functional is PBE.

a b c (Å): 11.113 7.539 9.935
angles (deg): 90.00 111.19 90.00
Space group C2/c (No. 15)
Asymmetric unit:
Ni: 0.000 0.000 0.000 [4 per cell]
Bi: 0.000 0.079 0.250 [4 per cell]
Bi: 0.103 0.333 0.013 [8 per cell]
Bi: 0.236 0.137 0.632 [8 per cell]
Pd: 0.000 0.467 0.250 [4 per cell]

Output
- ΔH_f (0 K): 27 meV per atom

Entry 5:
This record from Alexandria via LeMat-Bulk describes NiBi3Pd after structural relaxation. The functional is PBE.

a b c (Å): 11.550 13.423 6.549
angles (deg): 90.00 106.13 90.00
Space group C2/c (No. 15)
Asymmetric unit:
Ni: 0.000 0.073 0.250 [4 per cell]
Ni: 0.000 0.253 0.750 [4 per cell]
Bi: 0.094 0.400 0.536 [8 per cell]
Bi: 0.123 0.083 0.663 [8 per cell]
Bi: 0.144 0.199 0.137 [8 per cell]
Pd: 0.156 0.395 0.998 [8 per cell]

Output
- Excess energy over the best structure of this formula in the dataset: 0 meV per atom
- ΔH_f (0 K): -62 meV per atom

Entry 6:
This record from Alexandria via LeMat-Bulk describes NiBiPd after structural relaxation. The functional is PBE.

a b c (Å): 3.557 3.557 8.370
angles (deg): 90.00 90.00 90.00
Space group I4mm (No. 107)
Asymmetric unit:
Ni: 0.000 0.000 0.000 [2 per cell]
Bi: 0.000 0.000 0.671 [2 per cell]
Pd: 0.000 0.000 0.344 [2 per cell]

Output
- Excess energy over the best structure of this formula in the dataset: 48 meV per atom
- ΔH_f (0 K): 8 meV per atom